Here is a relaxed Pu2MgSb3Pd4 crystal from Alexandria via LeMat-Bulk. Energies are from PBE.

a = 4.4142 Å, b = 4.4142 Å, c = 11.2395 Å
α = 90.00°, β = 90.00°, γ = 90.00°
Atoms (fractional coordinates):
Pu  0.0000  0.5000  0.2389
Pu  0.5000  0.0000  0.7611
Mg  0.0000  0.0000  0.5000
Sb  0.0000  0.5000  0.8637
Sb  0.5000  0.0000  0.1363
Sb  0.5000  0.5000  0.5000
Pd  0.0000  0.0000  0.0000
Pd  0.0000  0.5000  0.6344
Pd  0.5000  0.0000  0.3656
Pd  0.5000  0.5000  0.0000

Results
For the energy, the calculation gives -0.2556 Ha/atom. Its symmetry is P-4m2, No. 115. The raw formation energy comes out at -6.15 eV per formula unit. Its crystal system is tetragonal.

=====

Here is a relaxed Y2CO crystal from Alexandria via LeMat-Bulk. Energies are from PBE.

a = 3.8149 Å, b = 3.8149 Å, c = 20.1323 Å
α = 90.00°, β = 90.00°, γ = 120.00°
Atoms (fractional coordinates):
Y  0.0000  0.0000  0.1021
Y  0.0000  0.0000  0.8979
Y  0.3333  0.6667  0.5646
Y  0.3333  0.6667  0.7687
Y  0.6667  0.3333  0.2313
Y  0.6667  0.3333  0.4354
C  0.0000  0.0000  0.5000
C  0.3333  0.6667  0.1667
C  0.6667  0.3333  0.8333
O  0.0000  0.0000  0.0000
O  0.3333  0.6667  0.6667
O  0.6667  0.3333  0.3333

Results
For the energy, the calculation gives -0.2956 Ha/atom. Its symmetry is R-3m, No. 166. The raw formation energy comes out at -5.06 eV per formula unit. Its crystal system is trigonal.